A plane-wave DFT calculation with GGA+U was carried out for AcMnTeO2 after structural relaxation.

Properties
* final energy: -68.9 eV/cell
* crystal system: orthorhombic
* Fermi-level density of states: 6.5 states/eV per cell

```
AcMnTeO2
1.0
-2.766 -0.075 -4.966
4.427 -2.734 -2.425
-5.088 -4.789 2.906
Ac O Te Mn
2 4 2 2
Direct
0.750 0.398 0.797 Ac
0.250 0.602 0.203 Ac
0.000 0.761 0.000 O
0.500 0.761 0.000 O
0.000 0.239 0.000 O
0.500 0.239 0.000 O
0.750 0.751 0.503 Te
0.250 0.249 0.497 Te
0.750 0.035 0.070 Mn
0.250 0.965 0.930 Mn
```